Computed, not measured: CaCr2Pd after structural relaxation at the GGA-PBE level of DFT.

a b c (Å): 9.955 9.955 9.955
angles (deg): 156.02 156.02 34.17
Element x y z (fractional)
Ca1 0.375 0.625 0.750
Ca2 0.625 0.375 0.250
Cr1 0.000 0.000 0.000
Cr2 0.000 0.000 0.500
Cr3 0.000 0.500 0.000
Cr4 0.500 0.000 0.500
Pd1 0.125 0.875 0.250
Pd2 0.875 0.125 0.750

- DOS(E_F): 10.8 states/eV/cell
- Energy above the most stable polymorph in this dataset: 0 meV per atom
- Formation enthalpy at 0 K: 2.93 eV/f.u.
- Crystal system: tetragonal